# 1
Material: KZr2SnBi
Method: DFT, GGA-PBE
State: relaxed

Computed properties:
Calculated formation energy   71 kJ/mol of atoms
Theoretical density   5.0 g/cm³
Total magnetic moment   2.126 μB per cell
Fermi-level density of states   7.437 states/eV per cell

Lattice parameters (Å, degrees): 5.5006 5.5006 6.0868 90.00 90.00 90.00
With the nearest neighbours (Å) after each atom.
Space group P4/mmm (No. 123)
Asymmetric unit:
K1 0.0000 0.0000 0.0000  4 Bi 3.89, 8 Zr 4.10
Zr1 0.0000 0.5000 0.5000  2 Sn 2.75
Sn1 0.5000 0.5000 0.5000  4 Zr 2.75, 2 Bi 3.04
Bi1 0.5000 0.5000 0.0000  2 Sn 3.04

# 2
Material: K3SrBi
Method: DFT, GGA-PBE
State: relaxed

Computed properties:
Calculated formation energy   -3 kJ/mol of atoms
Theoretical density   2.1 g/cm³
Total magnetic moment   0.000 μB per cell
Fermi-level density of states   0.000 states/eV per cell

Lattice parameters (Å, degrees): 6.8790 6.8790 6.8790 90.00 90.00 90.00
With the nearest neighbours (Å) after each atom.
Space group Pm-3m (No. 221)
Asymmetric unit:
K1 0.0000 0.0000 0.5000  2 Bi 3.44
Sr1 0.5000 0.5000 0.5000  12 K 4.86
Bi1 0.0000 0.0000 0.0000  6 K 3.44

# 3
Material: KSrBi2
Method: DFT, GGA-PBE
State: relaxed

Computed properties:
Calculated formation energy   -51 kJ/mol of atoms
Theoretical density   6.5 g/cm³
Total magnetic moment   0.000 μB per cell
Fermi-level density of states   1.307 states/eV per cell

Lattice parameters (Å, degrees): 5.2850 5.2850 4.9969 90.00 90.00 90.00
With the nearest neighbours (Å) after each atom.
Space group P4/mmm (No. 123)
Asymmetric unit:
K1 0.0000 0.0000 0.0000  8 Bi 3.64, 4 Sr 3.74
Sr1 0.5000 0.5000 0.0000  8 Bi 3.64, 4 K 3.74
Bi1 0.0000 0.5000 0.5000  4 K 3.64, 4 Sr 3.64, 4 Bi 3.74

# 4
Material: KSrBi2
Method: DFT, GGA-PBE
State: relaxed

Computed properties:
Calculated formation energy   -26 kJ/mol of atoms
Theoretical density   5.9 g/cm³
Total magnetic moment   0.000 μB per cell
Fermi-level density of states   21.197 states/eV per cell

Lattice parameters (Å, degrees): 9.4478 9.4478 6.8891 90.00 90.00 90.00
With the nearest neighbours (Å) after each atom.
Space group I-42d (No. 122)
Asymmetric unit:
K1 0.0000 0.0000 0.0000  2 Sr 3.44, 4 Bi 3.50
Sr1 0.0000 0.0000 0.5000  4 Bi 3.40, 2 K 3.44
Bi1 0.2429 0.2500 0.6250  2 Sr 3.40, 2 Bi 3.45, 2 K 3.50

# 5
Material: K3SrBi
Method: DFT, GGA-PBE
State: relaxed

Computed properties:
Calculated formation energy   62 kJ/mol of atoms
Theoretical density   2.0 g/cm³
Total magnetic moment   0.000 μB per cell
Fermi-level density of states   1.379 states/eV per cell

Lattice parameters (Å, degrees): 7.0075 7.0075 7.0075 90.00 90.00 90.00
With the nearest neighbours (Å) after each atom.
Space group Pm-3m (No. 221)
Asymmetric unit:
K1 0.0000 0.0000 0.5000  2 Sr 3.50
Sr1 0.0000 0.0000 0.0000  6 K 3.50
Bi1 0.5000 0.5000 0.5000  12 K 4.96

# 6
Material: KSrBi4
Method: DFT, GGA-PBE
State: relaxed

Computed properties:
Calculated formation energy   -32 kJ/mol of atoms
Theoretical density   7.3 g/cm³
Total magnetic moment   0.000 μB per cell
Fermi-level density of states   28.512 states/eV per cell

Lattice parameters (Å, degrees): 9.5700 9.5700 9.5700 90.00 90.00 90.00
With the nearest neighbours (Å) after each atom.
Space group F-43m (No. 216)
Asymmetric unit:
K1 0.0000 0.0000 0.0000  12 Bi 3.97, 4 Sr 4.14
Sr1 0.2500 0.2500 0.7500  12 Bi 3.97, 4 K 4.14
Bi1 0.1250 0.1250 0.3750  6 Bi 3.38